HfPa4P5 after structural relaxation. Source: Alexandria, functional PBE-GGA.

* DFT total energy: -8.80 eV per atom
* density: 9.83 g/cm³

```
data_HfPa4P5
_cell_length_a 8.744
_cell_length_b 8.744
_cell_length_c 5.558
_cell_angle_alpha 90.00
_cell_angle_beta 90.00
_cell_angle_gamma 90.00
_symmetry_space_group_name_H-M 'I 4/m'
_symmetry_Int_Tables_number 87
_symmetry_space_group_name_Hall '-I 4'
loop_
_atom_site_label
_atom_site_fract_x
_atom_site_fract_y
_atom_site_fract_z
Hf1 0.000 0.000 0.000
Pa1 0.097 0.301 0.500
P1 0.000 0.000 0.500
P2 0.098 0.289 0.000
```